w.
Compound: ReTc2Au
Source: Alexandria via LeMat-Bulk
Functional: PBE
Structure: optimized geometry

Its total magnetization is 0.0 μB/cell. As for the space group: C2/m (12). The value obtained for the volume is 15.49 A^3/atom.

Structure (POSCAR):
```
ReTc2Au
1.0
4.8435 0.0011 0.0005
4.0276 2.6904 0.0005
0.8648 0.2624 4.7561
Au Re Tc
1 1 2
Direct
0.7500 0.7500 0.7500
0.2500 0.2500 0.2500
0.9917 0.9917 0.0289
0.5083 0.5083 0.4711
```


x.
Compound: ReTc2Au
Source: Alexandria via LeMat-Bulk
Functional: PBE
Structure: optimized geometry

Its total magnetization is 0.0 μB/cell. As for the space group: Cmmm (65). The value obtained for the volume is 15.27 A^3/atom.

Structure (POSCAR):
```
ReTc2Au
1.0
-4.3280 -1.4090 1.4586
3.3211 -2.3121 2.5434
-0.0277 2.0738 1.9213
Au Re Tc
1 1 2
Direct
0.5000 0.0000 0.5000
0.0000 0.5000 0.5000
0.0000 0.0000 0.0000
0.5000 0.5000 0.0000
```


y.
Compound: ReTc2Au
Source: Alexandria via LeMat-Bulk
Functional: PBE
Structure: optimized geometry

Its total magnetization is 0.0 μB/cell. As for the space group: R-3m (166). The value obtained for the volume is 15.50 A^3/atom.

Structure (POSCAR):
```
ReTc2Au
1.0
-0.2964 -2.4069 9.0719
1.1896 -4.5581 8.1233
2.4618 -2.1781 8.7963
Au Re Tc
1 1 2
Direct
0.2500 0.2500 0.2500
0.7500 0.7500 0.7500
0.0045 0.0045 0.0045
0.4955 0.4955 0.4955
```


z.
Compound: ReTc2Au
Source: Alexandria via LeMat-Bulk
Functional: PBE
Structure: optimized geometry

Its total magnetization is 0.0 μB/cell. As for the space group: Imm2 (44). The value obtained for the volume is 15.33 A^3/atom.

Structure (POSCAR):
```
ReTc2Au
1.0
-3.9324 -0.7210 2.7477
0.4246 -4.1529 2.4711
2.9517 3.8149 -0.5175
Au Re Tc
1 1 2
Direct
0.4970 0.4970 0.0000
0.2428 0.7428 0.5000
0.0168 0.0168 0.0000
0.7434 0.2434 0.5000
```


Of them, z has the lowest stability.


w.
Compound: ReTeAu3
Source: Alexandria via LeMat-Bulk
Functional: PBE
Structure: optimized geometry

Its total magnetization is 4.8 μB/cell. As for the space group: Pm-3m (221). The value obtained for the volume is 28.93 A^3/atom.

Structure (POSCAR):
```
ReTeAu3
1.0
5.2494 0.0000 0.0000
0.0000 5.2494 0.0000
0.0000 0.0000 5.2494
Re Te Au
1 1 3
Direct
0.5000 0.5000 0.5000
0.0000 0.0000 0.0000
0.0000 0.5000 0.0000
0.0000 0.0000 0.5000
0.5000 0.0000 0.0000
```


x.
Compound: ReTeAu3
Source: Alexandria via LeMat-Bulk
Functional: PBE
Structure: optimized geometry

Its total magnetization is 0.0 μB/cell. As for the space group: Pm-3m (221). The value obtained for the volume is 25.55 A^3/atom.

Structure (POSCAR):
```
ReTeAu3
1.0
-3.0472 2.6328 -3.0249
-3.6409 -0.2239 3.4728
1.6808 4.2878 2.0387
Re Te Au
1 1 3
Direct
0.0000 0.0000 0.0000
0.5000 0.5000 0.5000
0.0000 0.5000 0.0000
0.0000 0.0000 0.5000
0.5000 0.0000 0.0000
```


Of them, w has the lowest stability.


w.
Compound: ReTe4Au
Source: Alexandria via LeMat-Bulk
Functional: PBE
Structure: optimized geometry

Its total magnetization is 4.3 μB/cell. As for the space group: F-43m (216). The value obtained for the volume is 28.28 A^3/atom.

Structure (POSCAR):
```
ReTe4Au
1.0
0.0000 4.3939 4.3939
4.3939 0.0000 4.3939
4.3939 4.3939 0.0000
Re Te Au
1 4 1
Direct
0.0000 0.0000 0.0000
0.8754 0.3749 0.3749
0.3749 0.3749 0.8754
0.3749 0.8754 0.3749
0.3749 0.3749 0.3749
0.7500 0.7500 0.7500
```


x.
Compound: ReTe4Au
Source: Alexandria via LeMat-Bulk
Functional: PBE
Structure: optimized geometry

Its total magnetization is 0.0 μB/cell. As for the space group: C2/c (15). The value obtained for the volume is 29.52 A^3/atom.

Structure (POSCAR):
```
ReTe4Au
1.0
1.2002 1.0086 -9.2313
-6.3343 -2.5725 2.6542
-0.6758 5.8917 4.3147
Re Te Au
2 8 2
Direct
0.7500 0.6450 0.3550
0.2500 0.3550 0.6450
0.9124 0.6465 0.7814
0.0877 0.9356 0.3780
0.5876 0.2186 0.3535
0.4123 0.6220 0.0644
0.5877 0.3780 0.9356
0.4124 0.7814 0.6465
0.9123 0.0644 0.6220
0.0876 0.3535 0.2186
0.2500 0.0717 0.9283
0.7500 0.9283 0.0717
```


Of them, w has the lowest stability.


w.
Compound: Th2ReAu
Source: Alexandria via LeMat-Bulk
Functional: PBE
Structure: optimized geometry

Its total magnetization is 0.0 μB/cell. As for the space group: P4/mmm (123). The value obtained for the volume is 24.47 A^3/atom.

Structure (POSCAR):
```
Th2ReAu
1.0
3.5121 0.0000 0.0000
0.0000 3.5121 0.0000
0.0000 0.0000 7.9359
Re Au Th
1 1 2
Direct
0.5000 0.5000 0.0000
0.5000 0.5000 0.5000
0.0000 0.0000 0.7732
0.0000 0.0000 0.2268
```


x.
Compound: Th2ReAu
Source: Alexandria via LeMat-Bulk
Functional: PBE
Structure: optimized geometry

Its total magnetization is 0.0 μB/cell. As for the space group: R-3m (166). The value obtained for the volume is 25.19 A^3/atom.

Structure (POSCAR):
```
Th2ReAu
1.0
3.3519 0.0000 0.0000
1.6759 2.9028 0.0000
1.6759 0.9676 10.3539
Re Au Th
1 1 2
Direct
0.0000 0.0000 0.0000
0.5000 0.5000 0.5000
0.0838 0.0838 0.7486
0.9162 0.9162 0.2514
```


y.
Compound: Th2ReAu
Source: Alexandria via LeMat-Bulk
Functional: PBE
Structure: optimized geometry

Its total magnetization is 0.0 μB/cell. As for the space group: Fm-3m (225). The value obtained for the volume is 24.29 A^3/atom.

Structure (POSCAR):
```
Th2ReAu
1.0
5.1601 0.0000 0.0000
2.5800 4.4687 0.0000
2.5800 1.4896 4.2132
Re Au Th
1 1 2
Direct
0.0000 0.0000 0.0000
0.5000 0.5000 0.5000
0.2500 0.2500 0.2500
0.7500 0.7500 0.7500
```


Of them, x has the lowest stability.


w.
Compound: TiRe2Au
Source: Alexandria via LeMat-Bulk
Functional: PBE
Structure: optimized geometry

Its total magnetization is 0.0 μB/cell. As for the space group: Fm-3m (225). The value obtained for the volume is 15.82 A^3/atom.

Structure (POSCAR):
```
TiRe2Au
1.0
0.0000 3.1629 3.1629
3.1629 0.0000 3.1629
3.1629 3.1629 0.0000
Re Au Ti
2 1 1
Direct
0.2500 0.2500 0.2500
0.7500 0.7500 0.7500
0.5000 0.5000 0.5000
0.0000 0.0000 0.0000
```


x.
Compound: TiRe2Au
Source: Alexandria via LeMat-Bulk
Functional: PBE
Structure: optimized geometry

Its total magnetization is 0.0 μB/cell. As for the space group: I-42d (122). The value obtained for the volume is 17.52 A^3/atom.

Structure (POSCAR):
```
TiRe2Au
1.0
-2.9509 -1.5203 -1.8827
2.4181 -1.7399 -2.3852
-0.0348 -9.2896 3.6880
Re Au Ti
4 2 2
Direct
0.5783 0.1250 0.2500
0.1717 0.6250 0.2500
0.3750 0.4217 0.7500
0.8750 0.8283 0.7500
0.0000 0.0000 0.0000
0.7500 0.2500 0.5000
0.5000 0.5000 0.0000
0.2500 0.7500 0.5000
```


Of them, x has the lowest stability.


w.
Compound: TiReAu2
Source: Alexandria via LeMat-Bulk
Functional: PBE
Structure: optimized geometry

Its total magnetization is 0.0 μB/cell. As for the space group: Fm-3m (225). The value obtained for the volume is 16.78 A^3/atom.

Structure (POSCAR):
```
TiReAu2
1.0
0.0000 3.2254 3.2254
3.2254 0.0000 3.2254
3.2254 3.2254 0.0000
Re Au Ti
1 2 1
Direct
0.5000 0.5000 0.5000
0.2500 0.2500 0.2500
0.7500 0.7500 0.7500
0.0000 0.0000 0.0000
```


x.
Compound: TiReAu2
Source: Alexandria via LeMat-Bulk
Functional: PBE
Structure: optimized geometry

Its total magnetization is 0.0 μB/cell. As for the space group: I-42d (122). The value obtained for the volume is 17.70 A^3/atom.

Structure (POSCAR):
```
TiReAu2
1.0
3.7875 0.0000 0.0000
0.0000 3.7875 0.0000
1.8938 1.8938 9.8716
Re Au Ti
2 4 2
Direct
0.0000 0.0000 0.0000
0.7500 0.2500 0.5000
0.6282 0.1250 0.2500
0.1218 0.6250 0.2500
0.3750 0.3718 0.7500
0.8750 0.8782 0.7500
0.5000 0.5000 0.0000
0.2500 0.7500 0.5000
```


Of them, x has the lowest stability.